1) First-principles (PBE-GGA) data for crystalline DyEr2Pu at its relaxed geometry, as listed in the Alexandria database.

```
data_DyEr2Pu
_chemical_formula_sum 'Dy1 Er2 Pu1'
_cell_length_a 4.933
_cell_length_b 4.933
_cell_length_c 4.933
_cell_angle_alpha 90.00
_cell_angle_beta 90.00
_cell_angle_gamma 90.00
_symmetry_space_group_name_H-M 'P 1'
_symmetry_Int_Tables_number 1
loop_
_symmetry_equiv_pos_as_xyz
'x,y,z'
loop_
_atom_site_label
_atom_site_type_symbol
_atom_site_fract_x
_atom_site_fract_y
_atom_site_fract_z
_atom_site_occupancy
Dy1 Dy 0.000 0.000 0.000 1
Er1 Er 0.000 0.500 0.500 1
Er2 Er 0.500 0.000 0.500 1
Pu1 Pu 0.500 0.500 0.000 1
```

The volume comes out at 120 Å³/cell. Its symmetry is No. 123.


2) First-principles (PBE-GGA) data for crystalline DyEr2Pu at its relaxed geometry, as listed in the Alexandria database.

```
data_DyEr2Pu
_chemical_formula_sum 'Dy3 Er6 Pu3'
_cell_length_a 3.418
_cell_length_b 3.418
_cell_length_c 36.414
_cell_angle_alpha 90.00
_cell_angle_beta 90.00
_cell_angle_gamma 120.00
_symmetry_space_group_name_H-M 'P 1'
_symmetry_Int_Tables_number 1
loop_
_symmetry_equiv_pos_as_xyz
'x,y,z'
loop_
_atom_site_label
_atom_site_type_symbol
_atom_site_fract_x
_atom_site_fract_y
_atom_site_fract_z
_atom_site_occupancy
Dy1 Dy 0.000 0.000 0.000 1
Dy2 Dy 0.333 0.667 0.667 1
Dy3 Dy 0.667 0.333 0.333 1
Er1 Er 0.000 0.000 0.411 1
Er2 Er 0.000 0.000 0.589 1
Er3 Er 0.333 0.667 0.078 1
Er4 Er 0.333 0.667 0.256 1
Er5 Er 0.667 0.333 0.744 1
Er6 Er 0.667 0.333 0.922 1
Pu1 Pu 0.000 0.000 0.500 1
Pu2 Pu 0.333 0.667 0.167 1
Pu3 Pu 0.667 0.333 0.833 1
```

The volume comes out at 368 Å³/cell. Its symmetry is No. 166.


3) First-principles (PBE-GGA) data for crystalline DyEr2Pu at its relaxed geometry, as listed in the Alexandria database.

```
data_DyEr2Pu
_chemical_formula_sum 'Dy4 Er8 Pu4'
_cell_length_a 7.840
_cell_length_b 7.840
_cell_length_c 7.840
_cell_angle_alpha 90.00
_cell_angle_beta 90.00
_cell_angle_gamma 90.00
_symmetry_space_group_name_H-M 'P 1'
_symmetry_Int_Tables_number 1
loop_
_symmetry_equiv_pos_as_xyz
'x,y,z'
loop_
_atom_site_label
_atom_site_type_symbol
_atom_site_fract_x
_atom_site_fract_y
_atom_site_fract_z
_atom_site_occupancy
Dy1 Dy 0.000 0.000 0.000 1
Dy2 Dy 0.000 0.500 0.500 1
Dy3 Dy 0.500 0.000 0.500 1
Dy4 Dy 0.500 0.500 0.000 1
Er1 Er 0.000 0.000 0.500 1
Er2 Er 0.000 0.500 0.000 1
Er3 Er 0.250 0.250 0.250 1
Er4 Er 0.250 0.750 0.750 1
Er5 Er 0.500 0.000 0.000 1
Er6 Er 0.500 0.500 0.500 1
Er7 Er 0.750 0.250 0.750 1
Er8 Er 0.750 0.750 0.250 1
Pu1 Pu 0.250 0.250 0.750 1
Pu2 Pu 0.250 0.750 0.250 1
Pu3 Pu 0.750 0.250 0.250 1
Pu4 Pu 0.750 0.750 0.750 1
```

The volume comes out at 482 Å³/cell. Its symmetry is No. 216.


4) First-principles (PBE-GGA) data for crystalline DyEr2Pu at its relaxed geometry, as listed in the Alexandria database.

```
data_DyEr2Pu
_chemical_formula_sum 'Dy1 Er2 Pu1'
_cell_length_a 3.472
_cell_length_b 3.472
_cell_length_c 9.934
_cell_angle_alpha 90.00
_cell_angle_beta 90.00
_cell_angle_gamma 90.00
_symmetry_space_group_name_H-M 'P 1'
_symmetry_Int_Tables_number 1
loop_
_symmetry_equiv_pos_as_xyz
'x,y,z'
loop_
_atom_site_label
_atom_site_type_symbol
_atom_site_fract_x
_atom_site_fract_y
_atom_site_fract_z
_atom_site_occupancy
Dy1 Dy 0.000 0.000 0.000 1
Er1 Er 0.500 0.500 0.255 1
Er2 Er 0.500 0.500 0.745 1
Pu1 Pu 0.000 0.000 0.500 1
```

The volume comes out at 120 Å³/cell. Its symmetry is No. 123.


It comes down to 4), which is 4.0 kJ/mol of atoms more stable than the next structure.


1) First-principles (PBE-GGA) data for crystalline Dy5Er4Pu at its relaxed geometry, as listed in the Alexandria database.

```
data_Dy5Er4Pu
_chemical_formula_sum 'Dy5 Er4 Pu1'
_cell_length_a 8.083
_cell_length_b 8.083
_cell_length_c 8.083
_cell_angle_alpha 96.43
_cell_angle_beta 96.43
_cell_angle_gamma 140.91
_symmetry_space_group_name_H-M 'P 1'
_symmetry_Int_Tables_number 1
loop_
_symmetry_equiv_pos_as_xyz
'x,y,z'
loop_
_atom_site_label
_atom_site_type_symbol
_atom_site_fract_x
_atom_site_fract_y
_atom_site_fract_z
_atom_site_occupancy
Dy1 Dy 0.000 0.000 0.000 1
Dy2 Dy 0.314 0.314 0.631 1
Dy3 Dy 0.314 0.683 0.000 1
Dy4 Dy 0.683 0.314 0.000 1
Dy5 Dy 0.683 0.683 0.369 1
Er1 Er 0.325 0.998 0.327 1
Er2 Er 0.671 0.998 0.673 1
Er3 Er 0.998 0.325 0.327 1
Er4 Er 0.998 0.671 0.673 1
Pu1 Pu 0.500 0.500 0.000 1
```

The volume comes out at 314 Å³/cell. Its symmetry is No. 107.


2) First-principles (PBE-GGA) data for crystalline Dy5Er4Pu at its relaxed geometry, as listed in the Alexandria database.

```
data_Dy5Er4Pu
_chemical_formula_sum 'Dy5 Er4 Pu1'
_cell_length_a 8.495
_cell_length_b 8.495
_cell_length_c 11.226
_cell_angle_alpha 108.45
_cell_angle_beta 108.45
_cell_angle_gamma 23.63
_symmetry_space_group_name_H-M 'P 1'
_symmetry_Int_Tables_number 1
loop_
_symmetry_equiv_pos_as_xyz
'x,y,z'
loop_
_atom_site_label
_atom_site_type_symbol
_atom_site_fract_x
_atom_site_fract_y
_atom_site_fract_z
_atom_site_occupancy
Dy1 Dy 0.000 0.000 0.000 1
Dy2 Dy 0.289 0.289 0.884 1
Dy3 Dy 0.312 0.312 0.422 1
Dy4 Dy 0.688 0.688 0.578 1
Dy5 Dy 0.711 0.711 0.116 1
Er1 Er 0.106 0.106 0.298 1
Er2 Er 0.417 0.417 0.210 1
Er3 Er 0.583 0.583 0.790 1
Er4 Er 0.894 0.894 0.702 1
Pu1 Pu 0.000 0.000 0.500 1
```

The volume comes out at 307 Å³/cell. Its symmetry is No. 12.


It comes down to 2), which is 20.0 kJ/mol of atoms more stable than the next structure.


1) First-principles (PBE-GGA) data for crystalline DyEr6Pu at its relaxed geometry, as listed in the Alexandria database.

```
data_DyEr6Pu
_chemical_formula_sum 'Dy2 Er12 Pu2'
_cell_length_a 5.558
_cell_length_b 7.040
_cell_length_c 12.190
_cell_angle_alpha 90.00
_cell_angle_beta 90.00
_cell_angle_gamma 90.00
_symmetry_space_group_name_H-M 'P 1'
_symmetry_Int_Tables_number 1
loop_
_symmetry_equiv_pos_as_xyz
'x,y,z'
loop_
_atom_site_label
_atom_site_type_symbol
_atom_site_fract_x
_atom_site_fract_y
_atom_site_fract_z
_atom_site_occupancy
Dy1 Dy 0.000 0.000 0.000 1
Dy2 Dy 0.000 0.500 0.500 1
Er1 Er 0.000 0.000 0.495 1
Er2 Er 0.000 0.244 0.244 1
Er3 Er 0.000 0.256 0.744 1
Er4 Er 0.000 0.500 0.995 1
Er5 Er 0.000 0.744 0.744 1
Er6 Er 0.000 0.756 0.244 1
Er7 Er 0.500 0.000 0.663 1
Er8 Er 0.500 0.248 0.911 1
Er9 Er 0.500 0.252 0.411 1
Er10 Er 0.500 0.500 0.163 1
Er11 Er 0.500 0.748 0.411 1
Er12 Er 0.500 0.752 0.911 1
Pu1 Pu 0.500 0.000 0.162 1
Pu2 Pu 0.500 0.500 0.662 1
```

The volume comes out at 477 Å³/cell. Its symmetry is No. 38.


2) First-principles (PBE-GGA) data for crystalline DyEr6Pu at its relaxed geometry, as listed in the Alexandria database.

```
data_DyEr6Pu
_chemical_formula_sum 'Dy2 Er12 Pu2'
_cell_length_a 6.895
_cell_length_b 12.039
_cell_length_c 6.887
_cell_angle_alpha 90.00
_cell_angle_beta 119.44
_cell_angle_gamma 90.00
_symmetry_space_group_name_H-M 'P 1'
_symmetry_Int_Tables_number 1
loop_
_symmetry_equiv_pos_as_xyz
'x,y,z'
loop_
_atom_site_label
_atom_site_type_symbol
_atom_site_fract_x
_atom_site_fract_y
_atom_site_fract_z
_atom_site_occupancy
Dy1 Dy 0.000 0.000 0.000 1
Dy2 Dy 0.500 0.500 0.000 1
Er1 Er 0.234 0.279 0.747 1
Er2 Er 0.234 0.721 0.747 1
Er3 Er 0.236 0.500 0.260 1
Er4 Er 0.264 0.000 0.740 1
Er5 Er 0.266 0.221 0.253 1
Er6 Er 0.266 0.779 0.253 1
Er7 Er 0.734 0.221 0.747 1
Er8 Er 0.734 0.779 0.747 1
Er9 Er 0.736 0.000 0.260 1
Er10 Er 0.764 0.500 0.740 1
Er11 Er 0.766 0.279 0.253 1
Er12 Er 0.766 0.721 0.253 1
Pu1 Pu 0.000 0.500 0.500 1
Pu2 Pu 0.500 0.000 0.500 1
```

The volume comes out at 498 Å³/cell. Its symmetry is No. 12.


It comes down to 1), which is 6.6 kJ/mol of atoms more stable than the next structure.


1) First-principles (PBE-GGA) data for crystalline Dy12Er7Pu at its relaxed geometry, as listed in the Alexandria database.

```
data_Dy12Er7Pu
_chemical_formula_sum 'Dy12 Er7 Pu1'
_cell_length_a 9.754
_cell_length_b 9.754
_cell_length_c 9.754
_cell_angle_alpha 109.47
_cell_angle_beta 109.47
_cell_angle_gamma 109.47
_symmetry_space_group_name_H-M 'P 1'
_symmetry_Int_Tables_number 1
loop_
_symmetry_equiv_pos_as_xyz
'x,y,z'
loop_
_atom_site_label
_atom_site_type_symbol
_atom_site_fract_x
_atom_site_fract_y
_atom_site_fract_z
_atom_site_occupancy
Dy1 Dy 0.000 0.253 0.747 1
Dy2 Dy 0.000 0.747 0.253 1
Dy3 Dy 0.253 0.000 0.747 1
Dy4 Dy 0.253 0.253 0.505 1
Dy5 Dy 0.253 0.505 0.253 1
Dy6 Dy 0.253 0.747 0.000 1
Dy7 Dy 0.495 0.747 0.747 1
Dy8 Dy 0.505 0.253 0.253 1
Dy9 Dy 0.747 0.000 0.253 1
Dy10 Dy 0.747 0.253 0.000 1
Dy11 Dy 0.747 0.495 0.747 1
Dy12 Dy 0.747 0.747 0.495 1
Er1 Er 0.000 0.000 0.500 1
Er2 Er 0.000 0.500 0.000 1
Er3 Er 0.000 0.500 0.500 1
Er4 Er 0.500 0.000 0.000 1
Er5 Er 0.500 0.000 0.500 1
Er6 Er 0.500 0.500 0.000 1
Er7 Er 0.500 0.500 0.500 1
Pu1 Pu 0.000 0.000 0.000 1
```

The volume comes out at 714 Å³/cell. Its symmetry is No. 229.


2) First-principles (PBE-GGA) data for crystalline Dy12Er7Pu at its relaxed geometry, as listed in the Alexandria database.

```
data_Dy12Er7Pu
_chemical_formula_sum 'Dy12 Er7 Pu1'
_cell_length_a 9.445
_cell_length_b 9.445
_cell_length_c 9.445
_cell_angle_alpha 110.38
_cell_angle_beta 110.38
_cell_angle_gamma 110.38
_symmetry_space_group_name_H-M 'P 1'
_symmetry_Int_Tables_number 1
loop_
_symmetry_equiv_pos_as_xyz
'x,y,z'
loop_
_atom_site_label
_atom_site_type_symbol
_atom_site_fract_x
_atom_site_fract_y
_atom_site_fract_z
_atom_site_occupancy
Dy1 Dy 0.088 0.380 0.591 1
Dy2 Dy 0.093 0.728 0.154 1
Dy3 Dy 0.154 0.093 0.728 1
Dy4 Dy 0.272 0.846 0.907 1
Dy5 Dy 0.380 0.591 0.088 1
Dy6 Dy 0.409 0.912 0.620 1
Dy7 Dy 0.591 0.088 0.380 1
Dy8 Dy 0.620 0.409 0.912 1
Dy9 Dy 0.728 0.154 0.093 1
Dy10 Dy 0.846 0.907 0.272 1
Dy11 Dy 0.907 0.272 0.846 1
Dy12 Dy 0.912 0.620 0.409 1
Er1 Er 0.154 0.454 0.283 1
Er2 Er 0.283 0.154 0.454 1
Er3 Er 0.454 0.283 0.154 1
Er4 Er 0.500 0.500 0.500 1
Er5 Er 0.546 0.717 0.846 1
Er6 Er 0.717 0.846 0.546 1
Er7 Er 0.846 0.546 0.717 1
Pu1 Pu 0.000 0.000 0.000 1
```

The volume comes out at 626 Å³/cell. Its symmetry is No. 148.


It comes down to 2), which is 57.5 kJ/mol of atoms more stable than the next structure.